Entry a
{
  "formula": "Li4MnCo2O7",
  "functional": "PBEsol",
  "state": "optimized geometry",
  "space_group": "No. 5",
  "lattice": [[2.429, -9.830, 0.000], [2.429, 9.830, 0.000], [-1.610, 0.000, 4.664]],
  "species": ["Li", "Li", "Li", "Li", "Li", "Li", "Li", "Li", "Mn", "Mn", "Co", "Co", "Co", "Co", "O", "O", "O", "O", "O", "O", "O", "O", "O", "O", "O", "O", "O", "O"],
  "fractional_positions": [[0.000, 0.000, 0.000], [0.068, 0.932, 0.500], [0.212, 0.788, 0.500], [0.357, 0.643, 0.500], [0.499, 0.501, 0.500], [0.640, 0.360, 0.500], [0.783, 0.217, 0.500], [0.934, 0.066, 0.500], [0.568, 0.432, 0.000], [0.859, 0.141, 0.000], [0.141, 0.859, 0.000], [0.284, 0.716, 0.000], [0.428, 0.572, 0.000], [0.713, 0.287, 0.000], [0.022, 0.455, 0.219], [0.116, 0.404, 0.781], [0.170, 0.325, 0.228], [0.277, 0.278, 0.770], [0.327, 0.177, 0.226], [0.400, 0.116, 0.781], [0.452, 0.025, 0.213], [0.545, 0.978, 0.781], [0.596, 0.884, 0.219], [0.675, 0.830, 0.772], [0.722, 0.723, 0.230], [0.823, 0.673, 0.774], [0.884, 0.600, 0.219], [0.975, 0.548, 0.787]]
}

=====

Entry b
{
  "formula": "Li4MnCo2O7",
  "functional": "PBEsol",
  "state": "optimized geometry",
  "space_group": "No. 12",
  "lattice": [[16.182, -1.411, 0.000], [16.182, 1.411, 0.000], [-0.192, 0.000, 4.908]],
  "species": ["Li", "Li", "Li", "Li", "Li", "Li", "Li", "Li", "Mn", "Mn", "Co", "Co", "Co", "Co", "O", "O", "O", "O", "O", "O", "O", "O", "O", "O", "O", "O", "O", "O"],
  "fractional_positions": [[0.000, 0.000, 0.000], [0.070, 0.070, 0.356], [0.214, 0.214, 0.074], [0.357, 0.357, 0.772], [0.500, 0.500, 0.500], [0.643, 0.643, 0.228], [0.786, 0.786, 0.926], [0.930, 0.930, 0.644], [0.430, 0.430, 0.130], [0.570, 0.570, 0.870], [0.144, 0.144, 0.722], [0.285, 0.285, 0.425], [0.715, 0.715, 0.575], [0.856, 0.856, 0.278], [0.041, 0.041, 0.697], [0.107, 0.107, 0.015], [0.181, 0.181, 0.432], [0.249, 0.249, 0.719], [0.322, 0.322, 0.131], [0.389, 0.389, 0.427], [0.460, 0.460, 0.838], [0.540, 0.540, 0.162], [0.611, 0.611, 0.573], [0.678, 0.678, 0.869], [0.751, 0.751, 0.281], [0.819, 0.819, 0.568], [0.893, 0.893, 0.985], [0.959, 0.959, 0.303]]
}

=====

Computed relative energies in units of eV/atom: entry a 0.000; entry b 0.006